Record 1
A PBEsol-optimized structure of NiTeCl2, computed with SCAN.

Output
density: 4.6 g cm⁻³
D(E_F): 0.32 states/eV/atom
formation energy from raw total energies: -61.13 kJ/mol of atoms
total energy: -17.98 eV per atom

Geometry as CIF:
```
data_NiTeCl2
_chemical_formula_sum 'Ni3 Te3 Cl6'
_cell_length_a 3.2942
_cell_length_b 3.2942
_cell_length_c 29.3400
_cell_angle_alpha 90.00
_cell_angle_beta 90.00
_cell_angle_gamma 120.00
_symmetry_space_group_name_H-M 'R -3 m'
_symmetry_Int_Tables_number 166
_symmetry_space_group_name_Hall '-R 3 2"'
loop_
_atom_site_label
_atom_site_fract_x
_atom_site_fract_y
_atom_site_fract_z
Ni1 0.0000 0.0000 0.0000
Te1 0.0000 0.0000 0.5000
Cl1 0.0000 0.0000 0.2877
```

=====

Record 2
A PBEsol-optimized structure of HfAlTc2Pd, computed with SCAN.

Output
density: 9.3 g cm⁻³
D(E_F): 0.99 states/eV/atom
total energy: -33.57 eV per atom

Geometry as CIF:
```
data_HfAlTc2Pd
_chemical_formula_sum 'Hf1 Al1 Tc2 Pd1'
_cell_length_a 4.351
_cell_length_b 4.351
_cell_length_c 4.779
_cell_angle_alpha 90.00
_cell_angle_beta 90.00
_cell_angle_gamma 90.00
_symmetry_space_group_name_H-M 'P 4/m m m'
_symmetry_Int_Tables_number 123
_symmetry_space_group_name_Hall '-P 4 2'
loop_
_atom_site_label
_atom_site_fract_x
_atom_site_fract_y
_atom_site_fract_z
Hf1 0.000 0.000 0.000
Al1 0.000 0.000 0.500
Tc1 0.000 0.500 0.500
Pd1 0.500 0.500 0.000
```

=====

Record 3
A PBEsol-optimized structure of CsRbTa2Tl, computed with SCAN.

Output
density: 8.1 g cm⁻³
D(E_F): 1.15 states/eV/atom
total energy: -49.99 eV per atom

Geometry as CIF:
```
data_CsRbTa2Tl
_chemical_formula_sum 'Cs1 Rb1 Ta2 Tl1'
_cell_length_a 5.124
_cell_length_b 5.124
_cell_length_c 6.117
_cell_angle_alpha 90.00
_cell_angle_beta 90.00
_cell_angle_gamma 90.00
_symmetry_space_group_name_H-M 'P 4/m m m'
_symmetry_Int_Tables_number 123
_symmetry_space_group_name_Hall '-P 4 2'
loop_
_atom_site_label
_atom_site_fract_x
_atom_site_fract_y
_atom_site_fract_z
Cs1 0.000 0.000 0.000
Rb1 0.500 0.500 0.500
Ta1 0.000 0.500 0.500
Tl1 0.500 0.500 0.000
```

=====

Record 4
A PBEsol-optimized structure of CoCu3, computed with SCAN.

Output
density: 9.4 g cm⁻³
D(E_F): 0.48 states/eV/atom
total energy: -15.65 eV per atom

Geometry as CIF:
```
data_CoCu3
_chemical_formula_sum 'Co3 Cu9'
_cell_length_a 2.4843
_cell_length_b 2.4843
_cell_length_c 24.7686
_cell_angle_alpha 90.00
_cell_angle_beta 90.00
_cell_angle_gamma 120.00
_symmetry_space_group_name_H-M 'R -3 m'
_symmetry_Int_Tables_number 166
_symmetry_space_group_name_Hall '-R 3 2"'
loop_
_atom_site_label
_atom_site_fract_x
_atom_site_fract_y
_atom_site_fract_z
Co1 0.0000 0.0000 0.0000
Cu1 0.0000 0.0000 0.2506
Cu2 0.0000 0.0000 0.5000
```

=====

Record 5
A PBEsol-optimized structure of ScPPb, computed with SCAN.

Output
density: 6.7 g cm⁻³
D(E_F): 0.42 states/eV/atom
energy relative to the lowest polymorph listed for this composition: 478.8 meV per atom
total energy: -33.74 eV per atom

Geometry as CIF:
```
data_ScPPb
_chemical_formula_sum 'Sc4 P4 Pb4'
_cell_length_a 6.545
_cell_length_b 6.545
_cell_length_c 6.545
_cell_angle_alpha 90.00
_cell_angle_beta 90.00
_cell_angle_gamma 90.00
_symmetry_space_group_name_H-M 'F -4 3 m'
_symmetry_Int_Tables_number 216
_symmetry_space_group_name_Hall 'F -4 2 3'
loop_
_atom_site_label
_atom_site_fract_x
_atom_site_fract_y
_atom_site_fract_z
Sc1 0.000 0.000 0.000
P1 0.250 0.250 0.750
Pb1 0.000 0.000 0.500
```

=====

Record 6
A PBEsol-optimized structure of Li7Mn2Co3O12, computed with SCAN.

Output
density: 4.6 g cm⁻³
energy relative to the lowest polymorph listed for this composition: 0.0 meV per atom
formation energy from raw total energies: -203.30 kJ/mol of atoms
total energy: -9.60 eV per atom

Geometry as CIF:
```
data_Li7Mn2Co3O12
_chemical_formula_sum 'Li14 Mn4 Co6 O24'
_cell_length_a 4.885
_cell_length_b 8.462
_cell_length_c 9.419
_cell_angle_alpha 90.00
_cell_angle_beta 99.97
_cell_angle_gamma 90.00
_symmetry_space_group_name_H-M 'C 1 2/m 1'
_symmetry_Int_Tables_number 12
loop_
_symmetry_equiv_pos_as_xyz
'x,y,z'
'-x,-y,-z'
'-x,y,-z'
'x,-y,z'
'x+1/2,y+1/2,z'
'-x+1/2,-y+1/2,-z'
'-x+1/2,y+1/2,-z'
'x+1/2,-y+1/2,z'
loop_
_atom_site_label
_atom_site_fract_x
_atom_site_fract_y
_atom_site_fract_z
Li1 0.000 0.000 0.000
Li2 0.243 0.000 0.747
Li3 0.248 0.164 0.253
Mn1 0.000 0.333 0.000
Co1 0.000 0.167 0.500
Co2 0.000 0.500 0.500
O1 0.106 0.500 0.886
O2 0.131 0.000 0.392
O3 0.131 0.333 0.393
O4 0.140 0.178 0.886
```

=====

Record 7
A PBEsol-optimized structure of Rb2GePt, computed with SCAN.

Output
density: 3.9 g cm⁻³
D(E_F): 0.42 states/eV/atom
total energy: -32.97 eV per atom

Geometry as CIF:
```
data_Rb2GePt
_chemical_formula_sum 'Rb8 Ge4 Pt4'
_cell_length_a 12.718
_cell_length_b 12.718
_cell_length_c 4.654
_cell_angle_alpha 90.00
_cell_angle_beta 90.00
_cell_angle_gamma 90.00
_symmetry_space_group_name_H-M 'I -4 2 d'
_symmetry_Int_Tables_number 122
_symmetry_space_group_name_Hall 'I -4 2bw'
loop_
_atom_site_label
_atom_site_fract_x
_atom_site_fract_y
_atom_site_fract_z
Rb1 0.048 0.250 0.125
Ge1 0.000 0.000 0.500
Pt1 0.000 0.000 0.000
```

=====

Record 8
A PBEsol-optimized structure of LiZnGa2Cu, computed with SCAN.

Output
density: 4.8 g cm⁻³
D(E_F): 0.38 states/eV/atom
total energy: -12.28 eV per atom

Geometry as CIF:
```
data_LiZnGa2Cu
_chemical_formula_sum 'Li1 Zn1 Ga2 Cu1'
_cell_length_a 4.575
_cell_length_b 4.575
_cell_length_c 4.553
_cell_angle_alpha 90.00
_cell_angle_beta 90.00
_cell_angle_gamma 90.00
_symmetry_space_group_name_H-M 'P 4/m m m'
_symmetry_Int_Tables_number 123
_symmetry_space_group_name_Hall '-P 4 2'
loop_
_atom_site_label
_atom_site_fract_x
_atom_site_fract_y
_atom_site_fract_z
Li1 0.000 0.000 0.000
Zn1 0.000 0.000 0.500
Ga1 0.000 0.500 0.500
Cu1 0.500 0.500 0.000
```